This record from the Alexandria database describes a relaxed structure of Cu3SiPt. The functional is GGA-PBE.

CIF file:
```
data_Cu3SiPt
_chemical_formula_sum 'Cu3 Si1 Pt1'
_space_group_name_H-M_alt 'P m -3 m'
_space_group_IT_number 221
_space_group_name_Hall '-P 4 2 3'
_cell_length_a 4.288
_cell_length_b 4.288
_cell_length_c 4.288
_cell_angle_alpha 90.00
_cell_angle_beta 90.00
_cell_angle_gamma 90.00
loop_
_atom_site_label
_atom_site_type_symbol
_atom_site_fract_x
_atom_site_fract_y
_atom_site_fract_z
_atom_site_occupancy
Cu1 Cu 0.000 0.000 0.500 1
Si1 Si 0.000 0.000 0.000 1
Pt1 Pt 0.500 0.500 0.500 1
```

For the formation energy from raw total energies, the calculation gives 0.5660 eV per atom. For the density of states at the Fermi level, the calculation gives 3.37 states/eV/f.u. The value obtained for the excess energy over the best structure of this formula in the dataset is 0 meV per atom.

=====

This record from the Alexandria database describes a relaxed structure of Cu3SiPt4. The functional is GGA-PBE.

CIF file:
```
data_Cu3SiPt4
_chemical_formula_sum 'Cu6 Si2 Pt8'
_space_group_name_H-M_alt 'I 4/m m m'
_space_group_IT_number 139
_space_group_name_Hall '-I 4 2'
_cell_length_a 4.018
_cell_length_b 4.018
_cell_length_c 13.722
_cell_angle_alpha 90.00
_cell_angle_beta 90.00
_cell_angle_gamma 90.00
loop_
_atom_site_label
_atom_site_type_symbol
_atom_site_fract_x
_atom_site_fract_y
_atom_site_fract_z
_atom_site_occupancy
Cu1 Cu 0.000 0.000 0.000 1
Cu2 Cu 0.000 0.000 0.249 1
Si1 Si 0.000 0.000 0.500 1
Pt1 Pt 0.000 0.500 0.119 1
```

For the formation energy from raw total energies, the calculation gives -0.3497 eV per atom. For the density of states at the Fermi level, the calculation gives 2.72 states/eV/f.u.

=====

This record from the Alexandria database describes a relaxed structure of CuSiPt2. The functional is GGA-PBE.

CIF file:
```
data_CuSiPt2
_chemical_formula_sum 'Cu2 Si2 Pt4'
_space_group_name_H-M_alt 'I m m 2'
_space_group_IT_number 44
_space_group_name_Hall 'I 2 -2'
_cell_length_a 2.877
_cell_length_b 4.118
_cell_length_c 9.798
_cell_angle_alpha 90.00
_cell_angle_beta 90.00
_cell_angle_gamma 90.00
loop_
_atom_site_label
_atom_site_type_symbol
_atom_site_fract_x
_atom_site_fract_y
_atom_site_fract_z
_atom_site_occupancy
Cu1 Cu 0.000 0.000 0.000 1
Si1 Si 0.000 0.500 0.287 1
Pt1 Pt 0.000 0.000 0.591 1
Pt2 Pt 0.000 0.500 0.819 1
```

For the formation energy from raw total energies, the calculation gives -0.3718 eV per atom. For the density of states at the Fermi level, the calculation gives 1.03 states/eV/f.u.

=====

This record from the Alexandria database describes a relaxed structure of CuSiPt2. The functional is GGA-PBE.

CIF file:
```
data_CuSiPt2
_chemical_formula_sum 'Cu4 Si4 Pt8'
_space_group_name_H-M_alt 'F -4 3 m'
_space_group_IT_number 216
_space_group_name_Hall 'F -4 2 3'
_cell_length_a 6.129
_cell_length_b 6.129
_cell_length_c 6.129
_cell_angle_alpha 90.00
_cell_angle_beta 90.00
_cell_angle_gamma 90.00
loop_
_atom_site_label
_atom_site_type_symbol
_atom_site_fract_x
_atom_site_fract_y
_atom_site_fract_z
_atom_site_occupancy
Cu1 Cu 0.000 0.000 0.000 1
Si1 Si 0.250 0.250 0.250 1
Pt1 Pt 0.000 0.000 0.500 1
Pt2 Pt 0.250 0.250 0.750 1
```

For the formation energy from raw total energies, the calculation gives -0.1242 eV per atom. For the density of states at the Fermi level, the calculation gives 1.31 states/eV/f.u.

=====

This record from the Alexandria database describes a relaxed structure of CuSiPt2. The functional is GGA-PBE.

CIF file:
```
data_CuSiPt2
_chemical_formula_sum 'Cu1 Si1 Pt2'
_space_group_name_H-M_alt 'P 1 2/m 1'
_space_group_IT_number 10
_space_group_name_Hall '-P 2y'
_cell_length_a 2.847
_cell_length_b 3.720
_cell_length_c 5.488
_cell_angle_alpha 90.00
_cell_angle_beta 100.72
_cell_angle_gamma 90.00
loop_
_atom_site_label
_atom_site_type_symbol
_atom_site_fract_x
_atom_site_fract_y
_atom_site_fract_z
_atom_site_occupancy
Cu1 Cu 0.000 0.000 0.000 1
Si1 Si 0.000 0.000 0.500 1
Pt1 Pt 0.401 0.500 0.741 1
```

For the formation energy from raw total energies, the calculation gives -0.3557 eV per atom. For the density of states at the Fermi level, the calculation gives 1.67 states/eV/f.u.

=====

This record from the Alexandria database describes a relaxed structure of Cu2SiPt2. The functional is GGA-PBE.

CIF file:
```
data_Cu2SiPt2
_chemical_formula_sum 'Cu4 Si2 Pt4'
_space_group_name_H-M_alt 'P 4/m b m'
_space_group_IT_number 127
_space_group_name_Hall '-P 4 2ab'
_cell_length_a 6.066
_cell_length_b 6.066
_cell_length_c 3.830
_cell_angle_alpha 90.00
_cell_angle_beta 90.00
_cell_angle_gamma 90.00
loop_
_atom_site_label
_atom_site_type_symbol
_atom_site_fract_x
_atom_site_fract_y
_atom_site_fract_z
_atom_site_occupancy
Cu1 Cu 0.138 0.362 0.000 1
Si1 Si 0.000 0.000 0.000 1
Pt1 Pt 0.165 0.665 0.500 1
```

For the formation energy from raw total energies, the calculation gives -0.0375 eV per atom. For the density of states at the Fermi level, the calculation gives 2.43 states/eV/f.u. The value obtained for the excess energy over the best structure of this formula in the dataset is 315 meV per atom.

=====

This record from the Alexandria database describes a relaxed structure of CuSiPt2. The functional is GGA-PBE.

CIF file:
```
data_CuSiPt2
_chemical_formula_sum 'Cu3 Si3 Pt6'
_space_group_name_H-M_alt 'R 3 m'
_space_group_IT_number 160
_space_group_name_Hall 'R 3 -2"'
_cell_length_a 2.8235
_cell_length_b 2.8235
_cell_length_c 24.8721
_cell_angle_alpha 90.00
_cell_angle_beta 90.00
_cell_angle_gamma 120.00
loop_
_atom_site_label
_atom_site_type_symbol
_atom_site_fract_x
_atom_site_fract_y
_atom_site_fract_z
_atom_site_occupancy
Cu1 Cu 0.0000 0.0000 0.0000 1
Si1 Si 0.0000 0.0000 0.7403 1
Pt1 Pt 0.0000 0.0000 0.2477 1
Pt2 Pt 0.0000 0.0000 0.4830 1
```

For the formation energy from raw total energies, the calculation gives -0.2208 eV per atom. For the density of states at the Fermi level, the calculation gives 2.01 states/eV/f.u.

=====

This record from the Alexandria database describes a relaxed structure of CuSiPt2. The functional is GGA-PBE.

CIF file:
```
data_CuSiPt2
_chemical_formula_sum 'Cu1 Si1 Pt2'
_space_group_name_H-M_alt 'P m m m'
_space_group_IT_number 47
_space_group_name_Hall '-P 2 2'
_cell_length_a 2.901
_cell_length_b 3.413
_cell_length_c 5.638
_cell_angle_alpha 90.00
_cell_angle_beta 90.00
_cell_angle_gamma 90.00
loop_
_atom_site_label
_atom_site_type_symbol
_atom_site_fract_x
_atom_site_fract_y
_atom_site_fract_z
_atom_site_occupancy
Cu1 Cu 0.000 0.000 0.000 1
Si1 Si 0.000 0.000 0.500 1
Pt1 Pt 0.500 0.500 0.258 1
```

For the formation energy from raw total energies, the calculation gives -0.3514 eV per atom. For the density of states at the Fermi level, the calculation gives 1.27 states/eV/f.u.

=====

This record from the Alexandria database describes a relaxed structure of CuSiPt4. The functional is GGA-PBE.

CIF file:
```
data_CuSiPt4
_chemical_formula_sum 'Cu2 Si2 Pt8'
_space_group_name_H-M_alt 'P 1 21/c 1'
_space_group_IT_number 14
_space_group_name_Hall '-P 2ybc'
_cell_length_a 7.495
_cell_length_b 5.474
_cell_length_c 4.556
_cell_angle_alpha 90.00
_cell_angle_beta 93.54
_cell_angle_gamma 90.00
loop_
_atom_site_label
_atom_site_type_symbol
_atom_site_fract_x
_atom_site_fract_y
_atom_site_fract_z
_atom_site_occupancy
Cu1 Cu 0.000 0.000 0.000 1
Si1 Si 0.500 0.000 0.500 1
Pt1 Pt 0.187 0.103 0.518 1
Pt2 Pt 0.336 0.613 0.532 1
```

For the formation energy from raw total energies, the calculation gives -0.2761 eV per atom. For the density of states at the Fermi level, the calculation gives 3.44 states/eV/f.u. The value obtained for the excess energy over the best structure of this formula in the dataset is 0 meV per atom.

=====

This record from the Alexandria database describes a relaxed structure of CuSiPt2. The functional is GGA-PBE.

CIF file:
```
data_CuSiPt2
_chemical_formula_sum 'Cu3 Si3 Pt6'
_space_group_name_H-M_alt 'R -3 m'
_space_group_IT_number 166
_space_group_name_Hall '-R 3 2"'
_cell_length_a 2.9040
_cell_length_b 2.9040
_cell_length_c 23.8367
_cell_angle_alpha 90.00
_cell_angle_beta 90.00
_cell_angle_gamma 120.00
loop_
_atom_site_label
_atom_site_type_symbol
_atom_site_fract_x
_atom_site_fract_y
_atom_site_fract_z
_atom_site_occupancy
Cu1 Cu 0.0000 0.0000 0.0000 1
Si1 Si 0.0000 0.0000 0.5000 1
Pt1 Pt 0.0000 0.0000 0.2437 1
```

For the formation energy from raw total energies, the calculation gives -0.3013 eV per atom. For the density of states at the Fermi level, the calculation gives 2.46 states/eV/f.u.

=====

This record from the Alexandria database describes a relaxed structure of CuSiPt2. The functional is GGA-PBE.

CIF file:
```
data_CuSiPt2
_chemical_formula_sum 'Cu1 Si1 Pt2'
_space_group_name_H-M_alt 'P 4/m m m'
_space_group_IT_number 123
_space_group_name_Hall '-P 4 2'
_cell_length_a 3.941
_cell_length_b 3.941
_cell_length_c 3.592
_cell_angle_alpha 90.00
_cell_angle_beta 90.00
_cell_angle_gamma 90.00
loop_
_atom_site_label
_atom_site_type_symbol
_atom_site_fract_x
_atom_site_fract_y
_atom_site_fract_z
_atom_site_occupancy
Cu1 Cu 0.000 0.000 0.000 1
Si1 Si 0.500 0.500 0.000 1
Pt1 Pt 0.000 0.500 0.500 1
```

For the formation energy from raw total energies, the calculation gives -0.3740 eV per atom. For the density of states at the Fermi level, the calculation gives 2.27 states/eV/f.u.

=====

This record from the Alexandria database describes a relaxed structure of Cu3SiPt. The functional is GGA-PBE.

CIF file:
```
data_Cu3SiPt
_chemical_formula_sum 'Cu3 Si1 Pt1'
_space_group_name_H-M_alt 'P m -3 m'
_space_group_IT_number 221
_space_group_name_Hall '-P 4 2 3'
_cell_length_a 4.670
_cell_length_b 4.670
_cell_length_c 4.670
_cell_angle_alpha 90.00
_cell_angle_beta 90.00
_cell_angle_gamma 90.00
loop_
_atom_site_label
_atom_site_type_symbol
_atom_site_fract_x
_atom_site_fract_y
_atom_site_fract_z
_atom_site_occupancy
Cu1 Cu 0.000 0.000 0.500 1
Si1 Si 0.500 0.500 0.500 1
Pt1 Pt 0.000 0.000 0.000 1
```

For the formation energy from raw total energies, the calculation gives 1.0130 eV per atom. For the density of states at the Fermi level, the calculation gives 2.61 states/eV/f.u. The value obtained for the excess energy over the best structure of this formula in the dataset is 447 meV per atom.

=====

Number 1: spin magnetization 0.00 μB per formula unit. Number 2: spin magnetization 0.00 μB per formula unit. Number 3: spin magnetization 0.00 μB per formula unit. Number 4: spin magnetization 0.00 μB per formula unit. Number 5: spin magnetization 0.00 μB per formula unit. Number 6: spin magnetization 0.00 μB per formula unit. Number 7: spin magnetization 0.00 μB per formula unit. Number 8: spin magnetization 0.00 μB per formula unit. Number 9: spin magnetization 0.00 μB per formula unit. Number 10: spin magnetization 0.00 μB per formula unit. Number 11: spin magnetization 0.00 μB per formula unit. Number 12: spin magnetization 0.00 μB per formula unit.